(1)
VCdTc2Ru: relaxed, GGA-PBE.

POSCAR file:
```
VCdTc2Ru
1.0
4.746 0.000 0.000
0.000 4.746 0.000
0.000 0.000 4.708
V Cd Tc Ru
1 1 2 1
Direct
0.000 0.000 0.000 V
0.500 0.500 0.500 Cd
0.000 0.500 0.500 Tc
0.500 0.000 0.500 Tc
0.500 0.500 0.000 Ru
```

Results
E_tot ... -5.346 eV/atom
Formation energy ... 2.663 eV/atom
Crystal system ... tetragonal

***

(2)
YCdTcRu2: relaxed, GGA-PBE.

POSCAR file:
```
YCdTcRu2
1.0
4.771 0.000 0.000
0.000 4.771 0.000
0.000 0.000 5.349
Y Cd Tc Ru
1 1 1 2
Direct
0.000 0.000 0.000 Y
0.000 0.000 0.500 Cd
0.500 0.500 0.500 Tc
0.000 0.500 0.000 Ru
0.500 0.000 0.000 Ru
```

Results
E_tot ... -5.178 eV/atom
Formation energy ... 2.082 eV/atom
Crystal system ... tetragonal

***

The records above yield N(E_F) values of 9.2, 6.3 states/eV/f.u., respectively.